#one
Entry from Alexandria: crystalline LiFeP2 at its relaxed geometry (GGA-PBEsol).

Output
Density of states at the Fermi level, states/eV per cell: 0.65
V, Å³/cell: 49

abc: 2.7097 2.7097 6.6988
angles: 90.00 90.00 90.00
Positions (direct):
Li: 0.0000 0.0000 0.0000
Fe: 0.0000 0.0000 0.5000
P: 0.5000 0.5000 0.2938
P: 0.5000 0.5000 0.7062



#two
Entry from Alexandria: crystalline LiFeP2 at its relaxed geometry (GGA-PBEsol).

Output
Density of states at the Fermi level, states/eV per cell: 2.01
V, Å³/cell: 51

abc: 3.7598 3.7598 5.2975
angles: 99.86 99.86 43.42
Positions (direct):
Li: 0.0000 0.0000 0.0000
Fe: 0.5000 0.5000 0.5000
P: 0.2353 0.2353 0.6960
P: 0.7647 0.7647 0.3040



Ranked by calculated energy, most stable first: #one, #two.



#one
Entry from Alexandria: crystalline LiFePb3 at its relaxed geometry (GGA-PBEsol).

Output
Density of states at the Fermi level, states/eV per cell: 7.01
V, Å³/cell: 126

abc: 5.0141 5.0141 5.0141
angles: 90.00 90.00 90.00
Positions (direct):
Li: 0.0000 0.0000 0.0000
Fe: 0.5000 0.5000 0.5000
Pb: 0.0000 0.0000 0.5000
Pb: 0.0000 0.5000 0.0000
Pb: 0.5000 0.0000 0.0000



#two
Entry from Alexandria: crystalline LiFePb3 at its relaxed geometry (GGA-PBEsol).

Output
Density of states at the Fermi level, states/eV per cell: 2.07
V, Å³/cell: 135

abc: 5.1285 5.1285 5.1285
angles: 90.00 90.00 90.00
Positions (direct):
Li: 0.0000 0.0000 0.0000
Fe: 0.5000 0.5000 0.5000
Pb: 0.0000 0.5000 0.5000
Pb: 0.5000 0.0000 0.5000
Pb: 0.5000 0.5000 0.0000



Ranked by calculated energy, most stable first: #two, #one.



#one
Entry from Alexandria: crystalline LiFeRe2 at its relaxed geometry (GGA-PBEsol).

Output
Density of states at the Fermi level, states/eV per cell: 3.52
V, Å³/cell: 51

abc: 3.0312 3.0312 5.5016
angles: 90.00 90.00 90.00
Positions (direct):
Li: 0.0000 0.0000 0.0000
Fe: 0.5000 0.5000 0.7911
Re: 0.0000 0.0000 0.5160
Re: 0.5000 0.5000 0.2478



#two
Entry from Alexandria: crystalline LiFeRe2 at its relaxed geometry (GGA-PBEsol).

Output
Density of states at the Fermi level, states/eV per cell: 3.39
V, Å³/cell: 51

abc: 4.8333 4.8333 4.8333
angles: 143.81 128.93 64.19
Positions (direct):
Li: 0.0000 0.0000 0.0000
Fe: 0.5000 0.5000 0.0000
Re: 0.2545 0.7545 0.5000
Re: 0.7455 0.2455 0.5000



Ranked by calculated energy, most stable first: #two, #one.



#one
Entry from Alexandria: crystalline LiScFe at its relaxed geometry (GGA-PBEsol).

Output
Density of states at the Fermi level, states/eV per cell: 2.56
V, Å³/cell: 49

abc: 4.1170 4.1170 4.1170
angles: 60.00 60.00 60.00
Positions (direct):
Li: 0.0000 0.0000 0.0000
Sc: 0.7500 0.7500 0.7500
Fe: 0.2500 0.2500 0.2500



#two
Entry from Alexandria: crystalline LiScFe at its relaxed geometry (GGA-PBEsol).

Output
Density of states at the Fermi level, states/eV per cell: 4.00
V, Å³/cell: 47

abc: 5.2104 5.2104 5.2104
angles: 144.72 144.72 50.75
Positions (direct):
Li: 0.0000 0.0000 0.0000
Sc: 0.7062 0.7062 0.0000
Fe: 0.3601 0.3601 0.0000



Ranked by calculated energy, most stable first: #two, #one.